# 1
## LiTa2Pd (PBE)

Data for crystalline LiTa2Pd at its relaxed geometry.

Results
- polymorph energy (0 for the lowest one) (meV/atom) = 180
- symmetry = I-42d (122)
- E_form (eV/atom) = 0.5154

Unit cell a=7.358 b=7.358 c=5.820 alpha=50.79 beta=50.79 gamma=90.00
Atoms (fractional coordinates):
Li1 0.500 0.500 0.000
Li2 0.250 0.750 0.500
Pd1 0.000 0.000 0.000
Pd2 0.750 0.250 0.500
Ta1 0.646 0.125 0.250
Ta2 0.104 0.625 0.250
Ta3 0.375 0.354 0.750
Ta4 0.875 0.896 0.750

# 2
## Dy2Ga3Rh4 (PBE)

Data for crystalline Dy2Ga3Rh4 at its relaxed geometry.

Results
- symmetry = Cmce (64)
- E_form (eV/atom) = -0.8693

Unit cell a=5.648 b=7.386 c=7.981 alpha=90.00 beta=110.72 gamma=90.00
Atoms (fractional coordinates):
Dy1 0.108 0.583 0.216
Dy2 0.892 0.417 0.784
Dy3 0.392 0.083 0.784
Dy4 0.608 0.917 0.216
Ga1 0.000 0.000 0.000
Ga2 0.500 0.500 0.000
Ga3 0.522 0.750 0.544
Ga4 0.978 0.250 0.456
Ga5 0.478 0.250 0.456
Ga6 0.022 0.750 0.544
Rh1 0.690 0.750 0.880
Rh2 0.810 0.250 0.120
Rh3 0.310 0.250 0.120
Rh4 0.190 0.750 0.880
Rh5 0.179 0.977 0.357
Rh6 0.821 0.023 0.643
Rh7 0.321 0.477 0.643
Rh8 0.679 0.523 0.357

# 3
## Ti2Ni8Ge (PBE)

Data for crystalline Ti2Ni8Ge at its relaxed geometry.

Results
- symmetry = Immm (71)
- E_form (eV/atom) = -0.2911

Unit cell a=4.146 b=5.259 c=7.074 alpha=111.77 beta=107.04 gamma=90.00
Atoms (fractional coordinates):
Ti1 0.809 0.309 0.617
Ti2 0.191 0.691 0.383
Ni1 0.359 0.593 0.718
Ni2 0.641 0.875 0.282
Ni3 0.820 0.820 0.641
Ni4 0.000 0.259 0.000
Ni5 0.180 0.180 0.359
Ni6 0.359 0.125 0.718
Ni7 0.641 0.407 0.282
Ni8 0.000 0.741 0.000
Ge1 0.500 0.000 0.000

# 4
## CeTh2Os (PBE)

Data for crystalline CeTh2Os at its relaxed geometry.

Results
- polymorph energy (0 for the lowest one) (meV/atom) = 0
- symmetry = Pnma (62)
- E_form (eV/atom) = -0.1990

Unit cell a=6.388 b=7.192 c=9.770 alpha=90.00 beta=90.00 gamma=90.00
Atoms (fractional coordinates):
Ce1 0.658 0.539 0.250
Ce2 0.842 0.039 0.250
Ce3 0.342 0.461 0.750
Ce4 0.158 0.961 0.750
Th1 0.159 0.676 0.061
Th2 0.341 0.176 0.439
Th3 0.841 0.324 0.561
Th4 0.659 0.824 0.939
Th5 0.841 0.324 0.939
Th6 0.659 0.824 0.561
Th7 0.159 0.676 0.439
Th8 0.341 0.176 0.061
Os1 0.065 0.371 0.250
Os2 0.435 0.871 0.250
Os3 0.935 0.629 0.750
Os4 0.565 0.129 0.750

# 5
## Y4Mg3Zn (PBE)

Data for crystalline Y4Mg3Zn at its relaxed geometry.

Results
- symmetry = P4/mmm (123)
- E_form (eV/atom) = -0.1663

Unit cell a=3.705 b=3.705 c=15.329 alpha=90.00 beta=90.00 gamma=90.00
Atoms (fractional coordinates):
Y1 0.000 0.000 0.888
Y2 0.000 0.000 0.112
Y3 0.000 0.000 0.371
Y4 0.000 0.000 0.629
Mg1 0.500 0.500 0.243
Mg2 0.500 0.500 0.500
Mg3 0.500 0.500 0.757
Zn1 0.500 0.500 0.000

# 6
## CsBiSe2 (PBE)

Data for crystalline CsBiSe2 at its relaxed geometry.

Results
- energy relative to the elements, uncorrected (eV per atom) = -0.742
- symmetry = Pnma (62)

Unit cell a=5.622 b=8.580 c=13.011 alpha=90.00 beta=90.00 gamma=90.00
Atoms (fractional coordinates):
Cs1 0.750 0.637 0.642
Cs2 0.250 0.863 0.142
Cs3 0.250 0.363 0.358
Cs4 0.750 0.137 0.858
Bi1 0.750 0.934 0.390
Bi2 0.250 0.566 0.890
Bi3 0.250 0.066 0.610
Bi4 0.750 0.434 0.110
Se1 0.750 0.152 0.555
Se2 0.250 0.348 0.055
Se3 0.250 0.848 0.445
Se4 0.750 0.652 0.945
Se5 0.750 0.618 0.275
Se6 0.250 0.882 0.775
Se7 0.250 0.382 0.725
Se8 0.750 0.118 0.225

# 7
## Y3HoEr3 (PBE)

Data for crystalline Y3HoEr3 at its relaxed geometry.

Results
- polymorph energy (0 for the lowest one) (meV/atom) = 119
- symmetry = R3m (160)
- E_form (eV/atom) = 0.2613

Unit cell a=8.226 b=6.284 c=6.284 alpha=102.38 beta=115.87 gamma=115.87
Atoms (fractional coordinates):
Y1 0.014 0.599 0.599
Y2 0.414 0.000 0.401
Y3 0.414 0.401 0.000
Ho1 0.562 0.000 0.000
Er1 0.625 0.653 0.653
Er2 0.973 0.000 0.347
Er3 0.973 0.347 0.000

# 8
## MgIn2Se4 (PBE)

Data for crystalline MgIn2Se4 at its relaxed geometry.

Results
- energy relative to the elements, uncorrected (eV per atom) = -0.449
- symmetry = Pnma (62)

Unit cell a=5.283 b=10.171 c=15.304 alpha=90.00 beta=90.00 gamma=90.00
Atoms (fractional coordinates):
Mg1 0.250 0.108 0.470
Mg2 0.750 0.892 0.530
Mg3 0.750 0.392 0.970
Mg4 0.250 0.608 0.030
In1 0.750 0.147 0.226
In2 0.250 0.853 0.774
In3 0.250 0.353 0.726
In4 0.750 0.647 0.274
In5 0.250 0.131 0.944
In6 0.750 0.869 0.056
In7 0.750 0.369 0.444
In8 0.250 0.631 0.556
Se1 0.513 0.109 0.778
Se2 0.487 0.891 0.222
Se3 0.487 0.391 0.278
Se4 0.513 0.609 0.722
Se5 0.987 0.609 0.722
Se6 0.013 0.391 0.278
Se7 0.013 0.891 0.222
Se8 0.987 0.109 0.778
Se9 0.250 0.910 0.575
Se10 0.750 0.090 0.425
Se11 0.750 0.590 0.075
Se12 0.250 0.410 0.925
Se13 0.750 0.153 0.030
Se14 0.250 0.847 0.970
Se15 0.250 0.347 0.530
Se16 0.750 0.653 0.470

# 9
## Mn4TlBr (PBE)

Data for crystalline Mn4TlBr at its relaxed geometry.

Results
- energy relative to the elements, uncorrected (eV per atom) = 0.642
- symmetry = F-43m (216)

Unit cell a=5.508 b=5.508 c=5.508 alpha=60.00 beta=60.00 gamma=60.00
Atoms (fractional coordinates):
Mn1 0.623 0.623 0.130
Mn2 0.623 0.130 0.623
Mn3 0.623 0.623 0.623
Mn4 0.130 0.623 0.623
Tl1 0.250 0.250 0.250
Br1 0.000 0.000 0.000

# 10
## VCr2Ni8 (PBE)

Data for crystalline VCr2Ni8 at its relaxed geometry.

Results
- symmetry = C2/m (12)
- E_form (eV/atom) = 0.1514

Unit cell a=4.340 b=6.521 c=6.954 alpha=62.04 beta=71.80 gamma=48.22
Atoms (fractional coordinates):
V1 0.500 0.000 0.000
Cr1 0.000 0.320 0.359
Cr2 0.000 0.680 0.641
Ni1 0.761 0.100 0.278
Ni2 0.761 0.378 0.722
Ni3 0.246 0.501 0.000
Ni4 0.500 0.807 0.385
Ni5 0.500 0.193 0.615
Ni6 0.754 0.499 0.000
Ni7 0.239 0.622 0.278
Ni8 0.239 0.900 0.722

# 11
## TaAgO2 (PBE)

Data for crystalline TaAgO2 at its relaxed geometry.

Results
- energy relative to the elements, uncorrected (eV per atom) = -0.726
- symmetry = R-3m (166)

Unit cell a=7.134 b=7.134 c=7.134 alpha=25.29 beta=25.29 gamma=25.29
Atoms (fractional coordinates):
O1 0.910 0.910 0.910
O2 0.090 0.090 0.090
Ag1 0.500 0.500 0.500
Ta1 0.000 0.000 0.000

# 12
## Ac2Y15Er2 (PBE)

Data for crystalline Ac2Y15Er2 at its relaxed geometry.

Results
- symmetry = R-3m (166)
- E_form (eV/atom) = 0.3053

Unit cell a=8.843 b=8.843 c=8.843 alpha=79.62 beta=79.62 gamma=79.62
Atoms (fractional coordinates):
Ac1 0.111 0.111 0.111
Ac2 0.889 0.889 0.889
Y1 0.000 0.000 0.500
Y2 0.500 0.000 0.000
Y3 0.000 0.500 0.000
Y4 0.308 0.692 0.000
Y5 0.000 0.308 0.692
Y6 0.692 0.000 0.308
Y7 0.000 0.692 0.308
Y8 0.308 0.000 0.692
Y9 0.692 0.308 0.000
Y10 0.628 0.628 0.156
Y11 0.156 0.628 0.628
Y12 0.628 0.156 0.628
Y13 0.372 0.372 0.844
Y14 0.844 0.372 0.372
Y15 0.372 0.844 0.372
Er1 0.327 0.327 0.327
Er2 0.673 0.673 0.673

What did the fourth record say?
## CeTh2Os (PBE)

Data for crystalline CeTh2Os at its relaxed geometry.

Results
- polymorph energy (0 for the lowest one) (meV/atom) = 0
- symmetry = Pnma (62)
- E_form (eV/atom) = -0.1990

Unit cell a=6.388 b=7.192 c=9.770 alpha=90.00 beta=90.00 gamma=90.00
Atoms (fractional coordinates):
Ce1 0.658 0.539 0.250
Ce2 0.842 0.039 0.250
Ce3 0.342 0.461 0.750
Ce4 0.158 0.961 0.750
Th1 0.159 0.676 0.061
Th2 0.341 0.176 0.439
Th3 0.841 0.324 0.561
Th4 0.659 0.824 0.939
Th5 0.841 0.324 0.939
Th6 0.659 0.824 0.561
Th7 0.159 0.676 0.439
Th8 0.341 0.176 0.061
Os1 0.065 0.371 0.250
Os2 0.435 0.871 0.250
Os3 0.935 0.629 0.750
Os4 0.565 0.129 0.750